(1)
The following is a PBE calculation of MnReTe2 after structural relaxation, from Alexandria via LeMat-Bulk.

Cell: 6.530 6.530 6.530 Å, 90.00 90.00 90.00°
Space group Fm-3m (No. 225)
Inequivalent atoms, fractional coordinates:
Mn (0.000, 0.000, 0.000) x4
Re (0.000, 0.000, 0.500) x4
Te (0.250, 0.250, 0.250) x8

## Properties
Uncorrected formation energy in eV/atom: 0.706
Density of states at the Fermi level in states/eV/f.u.: 3.7
Energy above the lowest structure with this stoichiometry in eV/f.u.: 2.49

=====

(2)
The following is a PBE calculation of SrTlTcO6 after structural relaxation, from Alexandria via LeMat-Bulk.

Cell: 5.495 10.261 5.136 Å, 90.00 94.85 90.00°
Space group C2 (No. 5)
Inequivalent atoms, fractional coordinates:
Sr (0.000, 0.000, 0.000) x2
Tl (0.000, 0.339, 0.500) x2
Tc (0.000, 0.664, 0.500) x2
O (0.153, 0.549, 0.303) x4
O (0.163, 0.826, 0.302) x4
O (0.246, 0.198, 0.255) x4

## Properties
Uncorrected formation energy in eV/atom: -1.457

=====

(3)
The following is a PBE calculation of Pa2I4Cl5 after structural relaxation, from Alexandria via LeMat-Bulk.

Cell: 7.713 4.818 12.824 Å, 90.00 99.01 90.00°
Space group P2/m (No. 10)
Inequivalent atoms, fractional coordinates:
Pa (0.001, 0.000, 0.282) x2
I (0.152, 0.500, 0.165) x2
I (0.238, 0.500, 0.670) x2
Cl (0.000, 0.000, 0.500) x1
Cl (0.215, 0.000, 0.887) x2
Cl (0.323, 0.000, 0.361) x2

## Properties
Uncorrected formation energy in eV/atom: -1.369
Density of states at the Fermi level in states/eV/f.u.: 5.7

=====

(4)
The following is a PBE calculation of Li3Pd3PbO8 after structural relaxation, from Alexandria via LeMat-Bulk.

Cell: 11.370 6.190 5.850 Å, 90.00 118.69 90.00°
Space group C2/m (No. 12)
Inequivalent atoms, fractional coordinates:
Li (0.000, 0.000, 0.000) x2
Li (0.250, 0.250, 0.500) x4
Pd (0.000, 0.500, 0.500) x2
Pd (0.250, 0.250, 0.000) x4
Pb (0.000, 0.000, 0.500) x2
O (0.043, 0.272, 0.775) x8
O (0.206, 0.000, 0.186) x4
O (0.230, 0.000, 0.722) x4

## Properties
Uncorrected formation energy in eV/atom: -0.873
Density of states at the Fermi level in states/eV/f.u.: 4.7

=====

(5)
The following is a PBE calculation of PrCd20Pd2 after structural relaxation, from Alexandria via LeMat-Bulk.

Cell: 15.896 15.896 15.896 Å, 90.00 90.00 90.00°
Space group Fd-3m (No. 227, origin choice 2)
Inequivalent atoms, fractional coordinates:
Pr (0.125, 0.125, 0.125) x8
Cd (0.000, 0.000, 0.000) x16
Cd (0.013, 0.375, 0.875) x48
Cd (0.060, 0.060, 0.323) x96
Pd (0.000, 0.000, 0.500) x16

## Properties
DFT formation energy in kJ/mol of formula units: -410
Density of states at the Fermi level in states/eV/f.u.: 8.1

=====

(6)
The following is a PBE calculation of K3Ac2PdO6 after structural relaxation, from Alexandria via LeMat-Bulk.

Cell: 6.306 11.001 6.639 Å, 90.00 107.77 90.00°
Space group C2/m (No. 12)
Inequivalent atoms, fractional coordinates:
K (0.000, 0.000, 0.000) x2
K (0.000, 0.345, 0.000) x4
Ac (0.000, 0.169, 0.500) x4
Pd (0.000, 0.500, 0.500) x2
O (0.229, 0.340, 0.707) x8
O (0.230, 0.500, 0.323) x4

## Properties
Uncorrected formation energy in eV/atom: -1.878

=====

(7)
The following is a PBE calculation of ScTa2Os after structural relaxation, from Alexandria via LeMat-Bulk.

Cell: 3.171 3.171 7.137 Å, 90.00 90.00 90.00°
Space group P4mm (No. 99)
Inequivalent atoms, fractional coordinates:
Sc (0.000, 0.000, 0.000) x1
Ta (0.000, 0.000, 0.543) x1
Ta (0.500, 0.500, 0.282) x1
Os (0.500, 0.500, 0.753) x1

## Properties
DFT formation energy in kJ/mol of formula units: -60
Density of states at the Fermi level in states/eV/f.u.: 4.5

=====

(8)
The following is a PBE calculation of BeSn3Ru after structural relaxation, from Alexandria via LeMat-Bulk.

Cell: 4.731 4.731 4.731 Å, 90.00 90.00 90.00°
Space group Pm-3m (No. 221)
Inequivalent atoms, fractional coordinates:
Be (0.000, 0.000, 0.000) x1
Sn (0.000, 0.000, 0.500) x3
Ru (0.500, 0.500, 0.500) x1

## Properties
DFT formation energy in kJ/mol of formula units: 422
Density of states at the Fermi level in states/eV/f.u.: 3.4
Energy above the lowest structure with this stoichiometry in eV/f.u.: 1.33

=====

no.,volume (Å³/cell),total magnetic moment (μB per cell),E (hartree per atom)
1,278,0.0,-0.2304
2,289,0.0,-0.2339
3,471,1.1,-0.1653
4,361,1.2,-0.1906
5,4017,0.0,-0.0603
6,439,2.0,-0.2113
7,72,0.0,-0.3848
8,106,0.0,-0.1517